(1)
The following is a DFT calculation (PBE) of a relaxed structure of BaMnHS2.

a b c (Å): 4.8954 4.8954 4.0409
angles (deg): 90.00 90.00 90.00
With the nearest neighbours (Å) after each atom.
Space group P4/mmm (No. 123)
Symmetry-distinct sites (fractional):
Ba 0.0000 0.0000 0.0000  8 S 3.17, 4 H 3.46
Mn 0.5000 0.5000 0.5000  2 H 2.02
H 0.5000 0.5000 0.0000  2 Mn 2.02
S 0.0000 0.5000 0.5000  2 Mn 2.45

Values from the calculation:
For the total DFT energy (no corrections), the calculation gives -27.35 eV for the cell shown. Its total magnetic moment is 4.00 Bohr magnetons per cell.

***

(2)
The following is a DFT calculation (PBE) of a relaxed structure of BaMnH2S4.

a b c (Å): 5.6002 7.4494 8.0107
angles (deg): 90.00 90.00 90.00
With the nearest neighbours (Å) after each atom.
Space group I222 (No. 23)
Symmetry-distinct sites (fractional):
Ba 0.0000 0.0000 0.0000  8 S 3.27-3.28
Mn 0.0000 0.0000 0.5000  4 S 2.21
H 0.0000 0.5000 0.1543  2 S 1.65
S 0.2334 0.3652 0.8407  1 H 1.65

Values from the calculation:
For the total DFT energy (no corrections), the calculation gives -79.05 eV for the cell shown. Its total magnetic moment is 6.02 Bohr magnetons per cell.

***

(3)
The following is a DFT calculation (PBE) of a relaxed structure of BaMnH2Se.

a b c (Å): 4.2732 4.2732 8.9505
angles (deg): 90.00 90.00 90.00
With the nearest neighbours (Å) after each atom.
Space group P4/mmm (No. 123)
Symmetry-distinct sites (fractional):
Ba 0.0000 0.0000 0.0000  4 Se 3.02
Mn 0.0000 0.0000 0.5000  4 H 2.14
H 0.0000 0.5000 0.5000  2 Mn 2.14
Se 0.5000 0.5000 0.0000  4 Ba 3.02

Values from the calculation:
For the total DFT energy (no corrections), the calculation gives -21.26 eV for the cell shown. Its total magnetic moment is 4.84 Bohr magnetons per cell.

***

(4)
The following is a DFT calculation (PBE) of a relaxed structure of BaMnHSe2.

a b c (Å): 5.1722 5.1722 4.0814
angles (deg): 90.00 90.00 90.00
With the nearest neighbours (Å) after each atom.
Space group P4/mmm (No. 123)
Symmetry-distinct sites (fractional):
Ba 0.0000 0.0000 0.0000  8 Se 3.29, 4 H 3.66
Mn 0.5000 0.5000 0.5000  2 H 2.04
H 0.5000 0.5000 0.0000  2 Mn 2.04
Se 0.0000 0.5000 0.5000  2 Mn 2.59

Values from the calculation:
For the total DFT energy (no corrections), the calculation gives -25.55 eV for the cell shown. Its total magnetic moment is 3.99 Bohr magnetons per cell.

***

(5)
The following is a DFT calculation (PBE) of a relaxed structure of BaSrMnH2.

a b c (Å): 4.6402 4.6402 9.6481
angles (deg): 90.00 90.00 90.00
With the nearest neighbours (Å) after each atom.
Space group P4/mmm (No. 123)
Symmetry-distinct sites (fractional):
Ba 0.0000 0.0000 0.0000  4 Mn 3.28
Sr 0.0000 0.0000 0.5000  4 H 2.32
Mn 0.5000 0.5000 0.0000  4 Ba 3.28
H 0.0000 0.5000 0.5000  2 Sr 2.32

Values from the calculation:
For the total DFT energy (no corrections), the calculation gives -16.64 eV for the cell shown. Its total magnetic moment is 3.42 Bohr magnetons per cell.

***

(6)
The following is a DFT calculation (PBE) of a relaxed structure of BaMn2TcH.

a b c (Å): 5.4031 5.4031 3.8876
angles (deg): 90.00 90.00 90.00
With the nearest neighbours (Å) after each atom.
Space group P4/mmm (No. 123)
Symmetry-distinct sites (fractional):
Ba 0.0000 0.0000 0.0000  2 H 1.94
Mn 0.0000 0.5000 0.0000  2 Ba 2.70
Tc 0.5000 0.5000 0.5000  8 Mn 3.33
H 0.0000 0.0000 0.5000  2 Ba 1.94

Values from the calculation:
For the total DFT energy (no corrections), the calculation gives -24.07 eV for the cell shown. Its total magnetic moment is 4.94 Bohr magnetons per cell.

***

(7)
The following is a DFT calculation (PBE) of a relaxed structure of Ba2MnVH.

a b c (Å): 6.2179 6.2179 4.0188
angles (deg): 90.00 90.00 90.00
With the nearest neighbours (Å) after each atom.
Space group P4/mmm (No. 123)
Symmetry-distinct sites (fractional):
Ba 0.0000 0.5000 0.0000  2 Mn 3.11
Mn 0.0000 0.0000 0.0000  2 V 2.01
V 0.0000 0.0000 0.5000  2 Mn 2.01
H 0.5000 0.5000 0.5000  8 Ba 3.70, 2 H 4.02

Values from the calculation:
For the total DFT energy (no corrections), the calculation gives -21.52 eV for the cell shown. Its total magnetic moment is 0.00 Bohr magnetons per cell.

***

(8)
The following is a DFT calculation (PBE) of a relaxed structure of BaMn2HW.

a b c (Å): 4.8394 4.8394 3.4017
angles (deg): 90.00 90.00 90.00
With the nearest neighbours (Å) after each atom.
Space group P4/mmm (No. 123)
Symmetry-distinct sites (fractional):
Ba 0.0000 0.0000 0.0000  2 H 1.70
Mn 0.0000 0.5000 0.0000  2 Ba 2.42
H 0.0000 0.0000 0.5000  2 Ba 1.70
W 0.5000 0.5000 0.5000  8 Mn 2.96

Values from the calculation:
For the total DFT energy (no corrections), the calculation gives -24.60 eV for the cell shown. Its total magnetic moment is 0.00 Bohr magnetons per cell.

***

(9)
The following is a DFT calculation (PBE) of a relaxed structure of Ba2MnHW.

a b c (Å): 6.2375 6.2375 3.2459
angles (deg): 90.00 90.00 90.00
With the nearest neighbours (Å) after each atom.
Space group P4/mmm (No. 123)
Symmetry-distinct sites (fractional):
Ba 0.0000 0.5000 0.0000  2 Mn 3.12, 2 Ba 3.25
Mn 0.0000 0.0000 0.0000  2 H 1.62
H 0.0000 0.0000 0.5000  2 Mn 1.62
W 0.5000 0.5000 0.5000  2 W 3.25, 8 Ba 3.52

Values from the calculation:
For the total DFT energy (no corrections), the calculation gives -23.17 eV for the cell shown. Its total magnetic moment is 4.52 Bohr magnetons per cell.

***

(10)
The following is a DFT calculation (PBE) of a relaxed structure of BaMoH3.

a b c (Å): 4.0086 4.0086 4.0086
angles (deg): 90.00 90.00 90.00
With the nearest neighbours (Å) after each atom.
Space group Pm-3m (No. 221)
Symmetry-distinct sites (fractional):
Ba 0.0000 0.0000 0.0000  12 H 2.83
Mo 0.5000 0.5000 0.5000  6 H 2.00
H 0.0000 0.5000 0.5000  2 Mo 2.00

Values from the calculation:
For the total DFT energy (no corrections), the calculation gives -22.57 eV for the cell shown. Its total magnetic moment is 1.00 Bohr magnetons per cell. The excess energy over the best structure of this formula in the dataset comes out at 0.0 meV/atom.

***

(11)
The following is a DFT calculation (PBE) of a relaxed structure of BaMoH2.

a b c (Å): 6.7255 6.7255 6.7255
angles (deg): 90.00 90.00 90.00
With the nearest neighbours (Å) after each atom.
Space group Fm-3m (No. 225)
Symmetry-distinct sites (fractional):
Ba 0.0000 0.0000 0.0000  8 H 2.91
Mo 0.0000 0.0000 0.5000  8 H 2.91
H 0.2500 0.2500 0.2500  4 Ba 2.91, 4 Mo 2.91

Values from the calculation:
For the total DFT energy (no corrections), the calculation gives -61.47 eV for the cell shown. Its total magnetic moment is 19.84 Bohr magnetons per cell. The excess energy over the best structure of this formula in the dataset comes out at 682.9 meV/atom.

***

(12)
The following is a DFT calculation (PBE) of a relaxed structure of BaMo3H.

a b c (Å): 4.3593 4.3593 4.3593
angles (deg): 90.00 90.00 90.00
With the nearest neighbours (Å) after each atom.
Space group Pm-3m (No. 221)
Symmetry-distinct sites (fractional):
Ba 0.0000 0.0000 0.0000  12 Mo 3.08
Mo 0.0000 0.5000 0.5000  2 H 2.18
H 0.5000 0.5000 0.5000  6 Mo 2.18

Values from the calculation:
For the total DFT energy (no corrections), the calculation gives -31.00 eV for the cell shown. Its total magnetic moment is 1.95 Bohr magnetons per cell. The excess energy over the best structure of this formula in the dataset comes out at 0.0 meV/atom.

***

> Which value of total DFT energy (no corrections) does entry 3 give?

-21.26 eV for the cell shown

***

> Among the records above, which one has the highest total DFT energy (no corrections)?

BaSrMnH2

***

> Which formula does entry 12 have?

BaMo3H